DFT (PBE) results for an optimized crystal structure of SiB2C3.

total DFT energy (no corrections): -45.1 eV per formula unit
space-group type: P1

Lattice parameters (Å, degrees): 3.1566 3.8901 4.3685 72.60 78.68 85.53
Sites, in units of the cell vectors:
Si1 0.1627 0.4104 0.8972
B1 0.7326 0.0201 0.5663
B2 0.4307 0.7123 0.2419
C1 0.3635 0.3159 0.4945
C2 0.1740 0.0669 0.3106
C3 0.6483 0.6966 0.8906